Record 1
VASP calculation (GGA-PBE) on an optimized crystal structure of YTm2Rh.

## Properties
For the volume, the calculation gives 207.4 Å³ per cell. The calculation puts the uncorrected energy at -49.71 eV/cell. As for the crystal system: orthorhombic. The calculation puts the density of states at the Fermi level at 9.85 states/eV per cell.

Cell lengths 3.816, 6.230, 9.168 Å; angles 90.00, 90.00, 107.85 degrees
Fractional positions:
Y 0.428 0.856 0.250
Y 0.572 0.144 0.750
Tm 0.140 0.280 0.434
Tm 0.860 0.720 0.566
Tm 0.860 0.720 0.934
Tm 0.140 0.280 0.066
Rh 0.745 0.490 0.250
Rh 0.255 0.510 0.750


Record 2
VASP calculation (GGA-PBE) on an optimized crystal structure of Y2Tm2Rh15.

## Properties
For the volume, the calculation gives 321.5 Å³ per cell. The calculation puts the uncorrected energy at -139.36 eV/cell. As for the crystal system: trigonal. The calculation puts the density of states at the Fermi level at 27.37 states/eV per cell.

Cell lengths 6.910, 6.910, 6.910 Å; angles 82.20, 82.20, 82.20 degrees
Fractional positions:
Y 0.360 0.360 0.360
Y 0.640 0.640 0.640
Tm 0.109 0.109 0.109
Tm 0.891 0.891 0.891
Rh 0.500 0.000 0.000
Rh 0.000 0.000 0.500
Rh 0.000 0.500 0.000
Rh 0.000 0.693 0.307
Rh 0.693 0.307 0.000
Rh 0.307 0.000 0.693
Rh 0.307 0.693 0.000
Rh 0.693 0.000 0.307
Rh 0.000 0.307 0.693
Rh 0.160 0.649 0.649
Rh 0.649 0.649 0.160
Rh 0.649 0.160 0.649
Rh 0.840 0.351 0.351
Rh 0.351 0.351 0.840
Rh 0.351 0.840 0.351


Record 3
VASP calculation (GGA-PBE) on an optimized crystal structure of Y3Tm4Rh4.

## Properties
For the volume, the calculation gives 258.3 Å³ per cell. The calculation puts the uncorrected energy at -74.16 eV/cell. As for the crystal system: orthorhombic. The calculation puts the density of states at the Fermi level at 7.44 states/eV per cell.

Cell lengths 3.757, 8.779, 9.173 Å; angles 118.59, 101.82, 90.00 degrees
Fractional positions:
Y 0.104 0.104 0.208
Y 0.896 0.896 0.792
Y 0.000 0.500 0.000
Tm 0.334 0.146 0.669
Tm 0.666 0.477 0.331
Tm 0.666 0.854 0.331
Tm 0.334 0.523 0.669
Rh 0.245 0.745 0.490
Rh 0.755 0.255 0.510
Rh 0.500 0.789 0.000
Rh 0.500 0.211 0.000


Record 4
VASP calculation (GGA-PBE) on an optimized crystal structure of YTm2Rh.

## Properties
For the volume, the calculation gives 416.7 Å³ per cell. The calculation puts the uncorrected energy at -99.88 eV/cell. As for the crystal system: orthorhombic. The calculation puts the density of states at the Fermi level at 18.65 states/eV per cell.

Cell lengths 6.284, 7.143, 9.283 Å; angles 90.00, 90.00, 90.00 degrees
Fractional positions:
Y 0.631 0.533 0.250
Y 0.869 0.033 0.250
Y 0.369 0.467 0.750
Y 0.131 0.967 0.750
Tm 0.171 0.677 0.063
Tm 0.329 0.177 0.437
Tm 0.829 0.323 0.563
Tm 0.671 0.823 0.937
Tm 0.829 0.323 0.937
Tm 0.671 0.823 0.563
Tm 0.171 0.677 0.437
Tm 0.329 0.177 0.063
Rh 0.059 0.385 0.250
Rh 0.441 0.885 0.250
Rh 0.941 0.615 0.750
Rh 0.559 0.115 0.750


Record 5
VASP calculation (GGA-PBE) on an optimized crystal structure of Y2TmRh3.

## Properties
For the volume, the calculation gives 119.8 Å³ per cell. The calculation puts the uncorrected energy at -44.75 eV/cell. As for the crystal system: tetragonal. The calculation puts the density of states at the Fermi level at 3.42 states/eV per cell.

Cell lengths 3.419, 3.419, 10.250 Å; angles 90.00, 90.00, 90.00 degrees
Fractional positions:
Y 0.500 0.500 0.832
Y 0.500 0.500 0.168
Tm 0.500 0.500 0.500
Rh 0.000 0.000 0.000
Rh 0.000 0.000 0.661
Rh 0.000 0.000 0.339


Record 6
VASP calculation (GGA-PBE) on an optimized crystal structure of YTm2Rh.

## Properties
For the volume, the calculation gives 112.3 Å³ per cell. The calculation puts the uncorrected energy at -24.24 eV/cell. As for the crystal system: trigonal. The calculation puts the density of states at the Fermi level at 4.75 states/eV per cell.

Cell lengths 3.804, 3.804, 9.230 Å; angles 78.11, 78.11, 60.00 degrees
Site moments in Bohr magnetons follow the coordinates.
Fractional positions:
Y 0.501 0.501 0.496  0.10
Tm 0.059 0.059 0.823  0.05
Tm 0.274 0.274 0.179  0.04
Rh 0.666 0.666 0.002  0.01


Q: Which of these has the lowest uncorrected energy?
A: Y2Tm2Rh15


Q: Which of these has the highest volume?
A: number 4